Record 1
Entry from Alexandria: a relaxed CeErTeS2 crystal (GGA-PBE).

```
data_CeErTeS2
_symmetry_space_group_name_H-M 'I 4 m m'
_symmetry_Int_Tables_number 107
_symmetry_space_group_name_Hall 'I 4 -2'
_cell_length_a 4.484
_cell_length_b 4.484
_cell_length_c 13.661
_cell_angle_alpha 90.00
_cell_angle_beta 90.00
_cell_angle_gamma 90.00
loop_
_atom_site_label
_atom_site_fract_x
_atom_site_fract_y
_atom_site_fract_z
Ce1 0.000 0.000 0.000
Er1 0.000 0.000 0.718
Te1 0.000 0.000 0.365
S1 0.000 0.500 0.118
```

Results
**ΔE_f (raw)**: -1.58 eV per atom
**Mass density**: 6.0 g cm⁻³
**Total magnetic moment**: 0.200 μB per atom
**V**: 27.5 A^3/atom



Record 2
Entry from Alexandria: a relaxed CeErTe2S crystal (GGA-PBE).

```
data_CeErTe2S
_symmetry_space_group_name_H-M 'P 4/n m m'
_symmetry_Int_Tables_number 129
_cell_length_a 4.405
_cell_length_b 4.405
_cell_length_c 15.372
_cell_angle_alpha 90.00
_cell_angle_beta 90.00
_cell_angle_gamma 90.00
loop_
_symmetry_equiv_pos_as_xyz
'x,y,z'
'-x,-y,-z'
'-y+1/2,x,z'
'y+1/2,-x,-z'
'-x+1/2,-y+1/2,z'
'x+1/2,y+1/2,-z'
'y,-x+1/2,z'
'-y,x+1/2,-z'
'x+1/2,-y,-z'
'-x+1/2,y,z'
'-y,-x,-z'
'y,x,z'
'-x,y+1/2,-z'
'x,-y+1/2,z'
'y+1/2,x+1/2,-z'
'-y+1/2,-x+1/2,z'
loop_
_atom_site_label
_atom_site_fract_x
_atom_site_fract_y
_atom_site_fract_z
Ce1 0.250 0.250 0.108
Er1 0.250 0.250 0.605
Te1 0.250 0.250 0.401
Te2 0.250 0.250 0.797
S1 0.250 0.750 0.000
```

Results
**ΔE_f (raw)**: -1.49 eV per atom
**Mass density**: 6.6 g cm⁻³
**Total magnetic moment**: 0.139 μB per atom
**V**: 29.8 A^3/atom



Record 3
Entry from Alexandria: a relaxed Ce2ErTh3S6 crystal (GGA-PBE).

```
data_Ce2ErTh3S6
_symmetry_space_group_name_H-M 'C 1 2/m 1'
_symmetry_Int_Tables_number 12
_cell_length_a 17.496
_cell_length_b 3.990
_cell_length_c 8.036
_cell_angle_alpha 90.00
_cell_angle_beta 103.97
_cell_angle_gamma 90.00
loop_
_symmetry_equiv_pos_as_xyz
'x,y,z'
'-x,-y,-z'
'-x,y,-z'
'x,-y,z'
'x+1/2,y+1/2,z'
'-x+1/2,-y+1/2,-z'
'-x+1/2,y+1/2,-z'
'x+1/2,-y+1/2,z'
loop_
_atom_site_label
_atom_site_fract_x
_atom_site_fract_y
_atom_site_fract_z
Ce1 0.167 0.000 0.335
Er1 0.000 0.500 0.000
Th1 0.000 0.500 0.500
Th2 0.168 0.000 0.833
S1 0.000 0.000 0.237
S2 0.161 0.500 0.083
S3 0.168 0.500 0.581
```

Results
**ΔE_f (raw)**: -1.93 eV per atom
**Mass density**: 8.2 g cm⁻³
**Total magnetic moment**: 0.037 μB per atom
**V**: 22.7 A^3/atom



Which of these has the highest total magnetic moment? CeErTeS2



Repeat the third record exactly.
Entry from Alexandria: a relaxed Ce2ErTh3S6 crystal (GGA-PBE).

```
data_Ce2ErTh3S6
_symmetry_space_group_name_H-M 'C 1 2/m 1'
_symmetry_Int_Tables_number 12
_cell_length_a 17.496
_cell_length_b 3.990
_cell_length_c 8.036
_cell_angle_alpha 90.00
_cell_angle_beta 103.97
_cell_angle_gamma 90.00
loop_
_symmetry_equiv_pos_as_xyz
'x,y,z'
'-x,-y,-z'
'-x,y,-z'
'x,-y,z'
'x+1/2,y+1/2,z'
'-x+1/2,-y+1/2,-z'
'-x+1/2,y+1/2,-z'
'x+1/2,-y+1/2,z'
loop_
_atom_site_label
_atom_site_fract_x
_atom_site_fract_y
_atom_site_fract_z
Ce1 0.167 0.000 0.335
Er1 0.000 0.500 0.000
Th1 0.000 0.500 0.500
Th2 0.168 0.000 0.833
S1 0.000 0.000 0.237
S2 0.161 0.500 0.083
S3 0.168 0.500 0.581
```

Results
**ΔE_f (raw)**: -1.93 eV per atom
**Mass density**: 8.2 g cm⁻³
**Total magnetic moment**: 0.037 μB per atom
**V**: 22.7 A^3/atom